# 1
# CeCdNi4

A relaxed CeCdNi4 crystal (GGA-PBEsol, the Alexandria database).

Lattice parameters (Å, degrees): 4.9193 4.9193 4.9193 60.00 60.00 60.00
Atoms (fractional coordinates):
Ce 0.0000 0.0000 0.0000
Cd 0.2500 0.2500 0.2500
Ni 0.1280 0.6240 0.6240
Ni 0.6240 0.1280 0.6240
Ni 0.6240 0.6240 0.1280
Ni 0.6240 0.6240 0.6240

Computed properties:
VASP energy: -5.749 eV per atom
ρ: 9.61 g cm⁻³

# 2
# CeCd20Ni2

A relaxed CeCd20Ni2 crystal (GGA-PBEsol, the Alexandria database).

Lattice parameters (Å, degrees): 10.9080 10.9080 10.9080 60.00 60.00 60.00
Atoms (fractional coordinates):
Ce 0.1250 0.1250 0.1250
Ce 0.8750 0.8750 0.8750
Cd 0.0000 0.0000 0.0000
Cd 0.0000 0.0000 0.5000
Cd 0.0000 0.5000 0.0000
Cd 0.0561 0.3244 0.3244
Cd 0.0561 0.3244 0.7952
Cd 0.0561 0.7952 0.3244
Cd 0.2048 0.6756 0.6756
Cd 0.2048 0.6756 0.9439
Cd 0.2048 0.9439 0.6756
Cd 0.2385 0.2385 0.5115
Cd 0.2385 0.5115 0.2385
Cd 0.2385 0.5115 0.5115
Cd 0.3244 0.0561 0.3244
Cd 0.3244 0.0561 0.7952
Cd 0.3244 0.3244 0.0561
Cd 0.3244 0.3244 0.7952
Cd 0.3244 0.7952 0.0561
Cd 0.3244 0.7952 0.3244
Cd 0.4885 0.4885 0.7615
Cd 0.4885 0.7615 0.4885
Cd 0.4885 0.7615 0.7615
Cd 0.5000 0.0000 0.0000
Cd 0.5115 0.2385 0.2385
Cd 0.5115 0.2385 0.5115
Cd 0.5115 0.5115 0.2385
Cd 0.6756 0.2048 0.6756
Cd 0.6756 0.2048 0.9439
Cd 0.6756 0.6756 0.2048
Cd 0.6756 0.6756 0.9439
Cd 0.6756 0.9439 0.2048
Cd 0.6756 0.9439 0.6756
Cd 0.7615 0.4885 0.4885
Cd 0.7615 0.4885 0.7615
Cd 0.7615 0.7615 0.4885
Cd 0.7952 0.0561 0.3244
Cd 0.7952 0.3244 0.0561
Cd 0.7952 0.3244 0.3244
Cd 0.9439 0.2048 0.6756
Cd 0.9439 0.6756 0.2048
Cd 0.9439 0.6756 0.6756
Ni 0.0000 0.5000 0.5000
Ni 0.5000 0.0000 0.5000
Ni 0.5000 0.5000 0.0000
Ni 0.5000 0.5000 0.5000

Computed properties:
VASP energy: -1.949 eV per atom
ρ: 9.07 g cm⁻³

# 3
# Ce2CdSe2O2

A relaxed Ce2CdSe2O2 crystal (GGA-PBEsol, the Alexandria database).

Lattice parameters (Å, degrees): 3.9282 3.9282 18.4901 90.00 90.00 90.00
Atoms (fractional coordinates):
Ce 0.2500 0.2500 0.0664
Ce 0.2500 0.2500 0.5664
Ce 0.7500 0.7500 0.4336
Ce 0.7500 0.7500 0.9336
Cd 0.2500 0.7500 0.2500
Cd 0.7500 0.2500 0.7500
Se 0.2500 0.2500 0.3477
Se 0.2500 0.2500 0.8477
Se 0.7500 0.7500 0.1523
Se 0.7500 0.7500 0.6523
O 0.2500 0.7500 0.0005
O 0.2500 0.7500 0.4995
O 0.7500 0.2500 0.9995
O 0.7500 0.2500 0.5005

Computed properties:
raw formation energy: -2.2397 eV per atom
VASP energy: -6.895 eV per atom
ρ: 6.78 g cm⁻³

# 4
# Ce2CdPb

A relaxed Ce2CdPb crystal (GGA-PBEsol, the Alexandria database).

Lattice parameters (Å, degrees): 7.6010 7.6010 7.6010 90.00 90.00 90.00
Atoms (fractional coordinates):
Ce 0.2500 0.2500 0.2500
Ce 0.2500 0.2500 0.7500
Ce 0.2500 0.7500 0.2500
Ce 0.2500 0.7500 0.7500
Ce 0.7500 0.2500 0.2500
Ce 0.7500 0.2500 0.7500
Ce 0.7500 0.7500 0.2500
Ce 0.7500 0.7500 0.7500
Cd 0.0000 0.0000 0.0000
Cd 0.0000 0.5000 0.5000
Cd 0.5000 0.0000 0.5000
Cd 0.5000 0.5000 0.0000
Pb 0.0000 0.0000 0.5000
Pb 0.0000 0.5000 0.0000
Pb 0.5000 0.0000 0.0000
Pb 0.5000 0.5000 0.5000

Computed properties:
VASP energy: -4.786 eV per atom
ρ: 9.07 g cm⁻³

# 5
# Ce6Cd4Pd13

A relaxed Ce6Cd4Pd13 crystal (GGA-PBEsol, the Alexandria database).

Lattice parameters (Å, degrees): 8.3479 8.3479 8.3479 109.47 109.47 109.47
Atoms (fractional coordinates):
Ce 0.0000 0.2985 0.2985
Ce 0.0000 0.7015 0.7015
Ce 0.2985 0.0000 0.2985
Ce 0.2985 0.2985 0.0000
Ce 0.7015 0.0000 0.7015
Ce 0.7015 0.7015 0.0000
Cd 0.0000 0.0000 0.5000
Cd 0.0000 0.5000 0.0000
Cd 0.5000 0.0000 0.0000
Cd 0.5000 0.5000 0.5000
Pd 0.0000 0.0000 0.0000
Pd 0.0000 0.3464 0.6536
Pd 0.0000 0.6536 0.3464
Pd 0.3072 0.6536 0.6536
Pd 0.3464 0.0000 0.6536
Pd 0.3464 0.3464 0.6928
Pd 0.3464 0.6536 0.0000
Pd 0.3464 0.6928 0.3464
Pd 0.6536 0.0000 0.3464
Pd 0.6536 0.3072 0.6536
Pd 0.6536 0.3464 0.0000
Pd 0.6536 0.6536 0.3072
Pd 0.6928 0.3464 0.3464

Computed properties:
VASP energy: -5.920 eV per atom
ρ: 9.91 g cm⁻³

# 6
# Ce2CdPd2

A relaxed Ce2CdPd2 crystal (GGA-PBEsol, the Alexandria database).

Lattice parameters (Å, degrees): 7.6628 7.6628 3.7429 90.00 90.00 90.00
Atoms (fractional coordinates):
Ce 0.1725 0.3275 0.0000
Ce 0.3275 0.8275 0.0000
Ce 0.6725 0.1725 0.0000
Ce 0.8275 0.6725 0.0000
Cd 0.0000 0.0000 0.5000
Cd 0.5000 0.5000 0.5000
Pd 0.1305 0.6305 0.5000
Pd 0.3695 0.1305 0.5000
Pd 0.6305 0.8695 0.5000
Pd 0.8695 0.3695 0.5000

Computed properties:
VASP energy: -5.846 eV per atom
ρ: 9.15 g cm⁻³